Entry from Alexandria via LeMat-Bulk: crystalline PmNd2Co at its relaxed geometry (PBE).

Unit cell a=3.518 b=3.518 c=9.177 alpha=90.00 beta=90.00 gamma=90.00
Space group P4/mmm (No. 123)
Symmetry-distinct sites (fractional):
Pm1 0.000 0.000 0.000
Nd1 0.500 0.500 0.318
Co1 0.000 0.000 0.500

- Calculated formation energy: 0.06 eV/atom
- Energy relative to the lowest polymorph listed for this composition: 128 meV/atom
- Magnetic moment: 1.0 μB/f.u.
- Calculated volume: 113.6 Å³ per cell